Model P:
This record from the Alexandria database describes a geometry-optimized BeAu3I structure. The functional is PBE.

Properties
SG = Pm-3m (221)

a = 4.687 Å, b = 4.687 Å, c = 4.687 Å
α = 90.00°, β = 90.00°, γ = 90.00°
Sites, in units of the cell vectors:
1 Be 0.000 0.000 0.000
2 Au 0.000 0.000 0.500
3 Au 0.000 0.500 0.000
4 Au 0.500 0.000 0.000
5 I 0.500 0.500 0.500

Model Q:
This record from the Alexandria database describes a geometry-optimized BeAu3I structure. The functional is PBE.

Properties
SG = Pm-3m (221)

a = 5.427 Å, b = 5.427 Å, c = 5.427 Å
α = 90.00°, β = 90.00°, γ = 90.00°
Sites, in units of the cell vectors:
1 Be 0.000 0.000 0.000
2 Au 0.000 0.500 0.500
3 Au 0.500 0.000 0.500
4 Au 0.500 0.500 0.000
5 I 0.500 0.500 0.500

model P ends up most stable, edging out the next structure by 888 meV/atom.